No. 1
VASP calculation (PBE) on crystalline Ta2BeSi2 at its relaxed geometry.

Results
Magnetic moment   0.00 μB/f.u.
Formation energy (no corrections)   -0.198 eV/atom
DFT total energy   -7.854 eV/atom

Geometry as POSCAR:
```
Ta2BeSi2
1.0
-5.863 2.210 0.978
-2.397 -5.646 -1.612
0.176 -1.059 3.447
Be Si Ta
2 4 4
Direct
0.000 0.000 0.000
0.500 0.500 0.000
0.633 0.133 0.000
0.367 0.867 0.000
0.133 0.367 0.000
0.867 0.633 0.000
0.830 0.330 0.500
0.670 0.830 0.500
0.330 0.170 0.500
0.170 0.670 0.500
```


No. 2
VASP calculation (PBE) on crystalline TaBeSi2 at its relaxed geometry.

Results
Magnetic moment   0.00 μB/f.u.
Formation energy (no corrections)   0.149 eV/atom
DFT total energy   -6.457 eV/atom

Geometry as POSCAR:
```
TaBeSi2
1.0
-2.266 -3.214 2.557
-0.545 -0.176 -5.096
1.838 -1.915 -0.956
Be Si Ta
1 2 1
Direct
0.500 0.500 0.000
0.500 0.000 0.500
0.000 0.000 0.000
0.000 0.500 0.500
```


No. 3
VASP calculation (PBE) on crystalline TaBeSi2 at its relaxed geometry.

Results
Magnetic moment   0.00 μB/f.u.
Formation energy (no corrections)   -0.085 eV/atom
DFT total energy   -6.691 eV/atom

Geometry as POSCAR:
```
TaBeSi2
1.0
3.290 0.000 0.000
0.000 3.290 0.000
0.000 0.000 5.072
Be Si Ta
1 2 1
Direct
0.500 0.500 0.774
0.000 0.000 0.986
0.500 0.500 0.247
0.000 0.000 0.493
```


No. 4
VASP calculation (PBE) on crystalline TaBeSi2 at its relaxed geometry.

Results
Magnetic moment   0.00 μB/f.u.
Formation energy (no corrections)   -0.046 eV/atom
DFT total energy   -6.652 eV/atom

Geometry as POSCAR:
```
TaBeSi2
1.0
-3.053 -2.659 -0.736
1.804 -2.037 -0.123
-0.509 -0.740 4.791
Be Si Ta
1 2 1
Direct
0.500 0.750 0.750
0.000 0.750 0.994
0.000 0.750 0.506
0.500 0.250 0.250
```


No. 5
VASP calculation (PBE) on crystalline TaBeSi2 at its relaxed geometry.

Results
Magnetic moment   0.00 μB/f.u.
Formation energy (no corrections)   0.211 eV/atom
DFT total energy   -6.395 eV/atom

Geometry as POSCAR:
```
TaBeSi2
1.0
2.700 0.000 0.000
0.000 2.700 0.000
0.000 0.000 7.633
Si Ta Be
2 1 1
Direct
0.000 0.000 0.969
0.500 0.500 0.249
0.000 0.000 0.518
0.500 0.500 0.765
```


No. 6
VASP calculation (PBE) on crystalline TaBeSi2 at its relaxed geometry.

Results
Magnetic moment   0.00 μB/f.u.
Formation energy (no corrections)   0.108 eV/atom
DFT total energy   -6.498 eV/atom

Geometry as POSCAR:
```
TaBeSi2
1.0
4.688 0.003 -0.008
3.896 2.607 -0.008
0.508 0.155 4.551
Ta Si Be
1 2 1
Direct
0.750 0.750 0.750
0.495 0.495 0.492
0.005 0.005 0.008
0.250 0.250 0.250
```


- Which of these has the highest formation energy (no corrections)?
  number 5